1.
DFT (PBE+U) results for a geometry-optimized P2WAuO structure.

Output
Offset from the most stable computed form = 1.0133 eV per atom
Total DFT energy (no corrections) = -4.15 eV per atom
Fermi-level density of states = 0.571 states/eV/atom
Symmetry = P4/mmm

a b c (Å): 4.829 4.031 4.829
angles (deg): 90.00 90.00 90.00
Site moments in Bohr magnetons follow the coordinates.
Positions (direct):
P  0.000  0.000  0.500  -0.30
P  0.500  0.000  0.000  -0.35
Au  0.000  0.000  0.000  -0.05
O  0.000  0.500  0.000  -0.13
W  0.500  0.500  0.500  3.02

---

2.
DFT (PBE+U) results for a geometry-optimized P2WAuO structure.

Output
Offset from the most stable computed form = 0.0000 eV per atom
Total DFT energy (no corrections) = -5.16 eV per atom
Fermi-level density of states = 0.528 states/eV/atom
Symmetry = P4/mmm

a b c (Å): 4.850 4.850 3.799
angles (deg): 90.00 90.00 90.00
Positions (direct):
P  0.000  0.500  0.000
P  0.500  0.000  0.000
Au  0.500  0.500  0.500
O  0.000  0.000  0.500
W  0.000  0.000  0.000